(1)
The following is a PBE calculation of HoBe4Pd8 after structural relaxation, from the Alexandria database.

Calculated values
* symmetry: I4/mmm
* total DFT energy (no corrections): -68.122 eV/cell
* formation energy: -0.546 eV per atom

a = 5.111 Å, b = 6.488 Å, c = 6.488 Å
α = 81.07°, β = 66.80°, γ = 66.80°
Positions (direct):
Pd (0.667, 0.333, 0.333)
Be (0.500, 0.500, 0.000)
Be (0.500, 0.000, 0.500)
Pd (0.724, 0.776, 0.776)
Ho (0.000, 0.000, 0.000)
Be (0.000, 0.000, 0.500)
Pd (0.333, 0.667, 0.667)
Pd (0.500, 0.224, 0.776)
Pd (0.000, 0.667, 0.333)
Pd (0.500, 0.776, 0.224)
Be (0.000, 0.500, 0.000)
Pd (0.000, 0.333, 0.667)
Pd (0.276, 0.224, 0.224)

(2)
The following is a PBE calculation of SmGa5Ru2 after structural relaxation, from the Alexandria database.

Calculated values
* symmetry: Immm
* total DFT energy (no corrections): -41.584 eV/cell
* formation energy: -0.397 eV per atom

a = 3.945 Å, b = 6.584 Å, c = 6.584 Å
α = 65.31°, β = 72.57°, γ = 72.57°
Positions (direct):
Ga (0.646, 0.156, 0.553)
Ga (0.354, 0.844, 0.447)
Ga (0.000, 0.500, 0.500)
Ru (0.766, 0.734, 0.734)
Ga (0.354, 0.447, 0.844)
Ga (0.646, 0.553, 0.156)
Ru (0.234, 0.266, 0.266)
Sm (0.000, 0.000, 0.000)

(3)
The following is a PBE calculation of Hf3CoSb after structural relaxation, from the Alexandria database.

Calculated values
* symmetry: Cmmm
* excess energy over the best structure of this formula in the dataset: 103 meV/atom
* total DFT energy (no corrections): -83.866 eV/cell
* E_form (uncorrected): -169 meV/atom

a = 4.674 Å, b = 6.893 Å, c = 7.395 Å
α = 117.78°, β = 90.00°, γ = 90.00°
Each line ends with the local moment (μB).
Positions (direct):
Co (0.500, 0.103, 0.206)  0.01
Hf (0.000, 0.124, 0.247)  0.01
Hf (0.500, 0.706, 0.000)  0.05
Hf (0.500, 0.294, 0.000)  0.05
Hf (0.500, 0.000, 0.500)  0.01
Hf (0.500, 0.500, 0.500)  0.01
Co (0.500, 0.897, 0.794)  0.01
Sb (0.000, 0.359, 0.719)  0.00
Hf (0.000, 0.876, 0.753)  0.01
Sb (0.000, 0.641, 0.281)  0.00

(4)
The following is a PBE calculation of Li2MnZn6 after structural relaxation, from the Alexandria database.

Calculated values
* symmetry: Immm
* total DFT energy (no corrections): -21.250 eV/cell
* formation energy: -0.068 eV per atom

a = 2.665 Å, b = 7.683 Å, c = 7.683 Å
α = 58.49°, β = 80.01°, γ = 80.01°
Each line ends with the local moment (μB).
Positions (direct):
Li (0.651, 0.849, 0.849)  0.01
Zn (0.000, 0.826, 0.174)  -0.03
Zn (0.830, 0.842, 0.499)  -0.02
Zn (0.170, 0.501, 0.158)  -0.02
Li (0.349, 0.151, 0.151)  0.01
Zn (0.170, 0.158, 0.501)  -0.02
Mn (0.500, 0.500, 0.500)  3.31
Zn (0.000, 0.174, 0.826)  -0.03
Zn (0.830, 0.499, 0.842)  -0.02

(5)
The following is a PBE calculation of Zr3CdTc2 after structural relaxation, from the Alexandria database.

Calculated values
* symmetry: P4/mmm
* total DFT energy (no corrections): -49.201 eV/cell
* formation energy: -0.318 eV per atom

a = 3.337 Å, b = 3.337 Å, c = 10.480 Å
α = 90.00°, β = 90.00°, γ = 90.00°
Positions (direct):
Zr (0.000, 0.000, 0.695)
Zr (0.000, 0.000, 0.305)
Tc (0.500, 0.500, 0.161)
Zr (0.000, 0.000, 0.000)
Tc (0.500, 0.500, 0.839)
Cd (0.500, 0.500, 0.500)

(6)
The following is a PBE calculation of DyPaSi after structural relaxation, from the Alexandria database.

Calculated values
* symmetry: Cmcm
* excess energy over the best structure of this formula in the dataset: 0 meV/atom
* total DFT energy (no corrections): -40.391 eV/cell
* E_form (uncorrected): -225 meV/atom

a = 4.270 Å, b = 5.797 Å, c = 6.200 Å
α = 90.00°, β = 90.00°, γ = 111.61°
Positions (direct):
Si (0.625, 0.250, 0.750)
Si (0.375, 0.750, 0.250)
Pa (0.308, 0.616, 0.750)
Dy (0.000, 0.000, 0.500)
Dy (0.000, 0.000, 0.000)
Pa (0.692, 0.384, 0.250)

(7)
The following is a PBE calculation of Na2Ca3ThS6 after structural relaxation, from the Alexandria database.

Calculated values
* symmetry: C2/m
* total DFT energy (no corrections): -63.625 eV/cell
* E_form (uncorrected): -1900 meV/atom

a = 7.037 Å, b = 7.037 Å, c = 7.037 Å
α = 99.62°, β = 99.62°, γ = 119.93°
Positions (direct):
Ca (0.500, 0.500, 0.500)
S (0.085, 0.404, 0.254)
S (0.596, 0.915, 0.746)
S (0.404, 0.085, 0.254)
Na (0.334, 0.666, 0.000)
S (0.766, 0.766, 0.251)
Ca (0.170, 0.830, 0.500)
Ca (0.830, 0.170, 0.500)
S (0.915, 0.596, 0.746)
Th (0.000, 0.000, 0.000)
S (0.234, 0.234, 0.749)
Na (0.666, 0.334, 0.000)

(8)
The following is a PBE calculation of CaNdInPb after structural relaxation, from the Alexandria database.

Calculated values
* symmetry: F-43m
* excess energy over the best structure of this formula in the dataset: 40 meV/atom
* total DFT energy (no corrections): -15.045 eV/cell
* formation energy: -0.457 eV per atom

a = 5.528 Å, b = 5.528 Å, c = 5.528 Å
α = 60.00°, β = 60.00°, γ = 60.00°
Positions (direct):
In (0.250, 0.250, 0.250)
Ca (0.500, 0.500, 0.500)
Pb (0.750, 0.750, 0.750)
Nd (0.000, 0.000, 0.000)

(9)
The following is a PBE calculation of LaSm2Y2 after structural relaxation, from the Alexandria database.

Calculated values
* symmetry: C2/c
* excess energy over the best structure of this formula in the dataset: 116 meV/atom
* total DFT energy (no corrections): -52.897 eV/cell
* formation energy: 0.169 eV per atom

a = 6.313 Å, b = 6.313 Å, c = 9.950 Å
α = 116.45°, β = 99.40°, γ = 92.32°
Positions (direct):
Y (0.188, 0.689, 0.000)
Y (0.690, 0.688, 0.500)
Sm (0.356, 0.289, 0.144)
Sm (0.145, 0.712, 0.356)
La (0.250, 0.000, 0.750)
Sm (0.644, 0.711, 0.856)
La (0.750, 0.000, 0.250)
Y (0.812, 0.311, 0.000)
Sm (0.855, 0.288, 0.644)
Y (0.310, 0.312, 0.500)

(10)
The following is a PBE calculation of Sm2GaS after structural relaxation, from the Alexandria database.

Calculated values
* symmetry: R3m
* excess energy over the best structure of this formula in the dataset: 172 meV/atom
* total DFT energy (no corrections): -21.242 eV/cell
* E_form (uncorrected): -1162 meV/atom

a = 3.887 Å, b = 3.887 Å, c = 8.093 Å
α = 76.10°, β = 76.10°, γ = 60.00°
Positions (direct):
Sm (0.073, 0.073, 0.782)
Sm (0.260, 0.260, 0.220)
Ga (0.499, 0.499, 0.502)
S (0.668, 0.668, 0.996)

(11)
The following is a PBE calculation of LaMo2P2 after structural relaxation, from the Alexandria database.

Calculated values
* symmetry: I4/mmm
* total DFT energy (no corrections): -40.202 eV/cell
* formation energy: -0.558 eV per atom

a = 4.693 Å, b = 4.693 Å, c = 5.446 Å
α = 64.48°, β = 64.48°, γ = 90.00°
Positions (direct):
Mo (0.369, 0.369, 0.262)
P (0.250, 0.750, 0.500)
Mo (0.631, 0.631, 0.738)
La (0.000, 0.000, 0.000)
P (0.750, 0.250, 0.500)

(12)
The following is a PBE calculation of CoHgSb2 after structural relaxation, from the Alexandria database.

Calculated values
* symmetry: C2/m
* total DFT energy (no corrections): -13.708 eV/cell
* E_form (uncorrected): 486 meV/atom

a = 5.864 Å, b = 4.758 Å, c = 4.646 Å
α = 74.55°, β = 68.90°, γ = 116.13°
Each line ends with the local moment (μB).
Positions (direct):
Sb (0.000, 0.000, 0.000)  -0.01
Co (0.000, 0.500, 0.500)  1.57
Hg (0.500, 0.500, 0.000)  -0.01
Sb (0.500, 0.000, 0.500)  -0.01

(13)
The following is a PBE calculation of Ho2Tm7Sc2 after structural relaxation, from the Alexandria database.

Calculated values
* symmetry: C2/m
* excess energy over the best structure of this formula in the dataset: 33 meV/atom
* total DFT energy (no corrections): -51.896 eV/cell
* formation energy: 0.111 eV per atom

a = 8.287 Å, b = 6.379 Å, c = 6.379 Å
α = 91.90°, β = 81.54°, γ = 81.54°
Positions (direct):
Tm (0.802, 0.911, 0.541)
Tm (0.412, 0.840, 0.840)
Sc (0.852, 0.396, 0.396)
Ho (0.500, 0.680, 0.320)
Tm (0.000, 0.000, 0.000)
Tm (0.588, 0.160, 0.160)
Tm (0.198, 0.459, 0.089)
Tm (0.802, 0.541, 0.911)
Ho (0.500, 0.320, 0.680)
Tm (0.198, 0.089, 0.459)
Sc (0.148, 0.604, 0.604)

(14)
The following is a PBE calculation of SiSb2TeRh after structural relaxation, from the Alexandria database.

Calculated values
* symmetry: P4/mmm
* excess energy over the best structure of this formula in the dataset: 345 meV/atom
* total DFT energy (no corrections): -19.467 eV/cell
* E_form (uncorrected): 939 meV/atom

a = 5.066 Å, b = 5.066 Å, c = 5.090 Å
α = 90.00°, β = 90.00°, γ = 90.00°
Positions (direct):
Si (0.000, 0.000, 0.000)
Sb (0.000, 0.500, 0.000)
Sb (0.500, 0.000, 0.000)
Rh (0.500, 0.500, 0.500)
Te (0.000, 0.000, 0.500)

(15)
The following is a PBE calculation of TmU4Se8 after structural relaxation, from the Alexandria database.

Calculated values
* symmetry: R-3m
* total DFT energy (no corrections): -93.659 eV/cell
* E_form (uncorrected): -1243 meV/atom

a = 8.153 Å, b = 8.153 Å, c = 8.153 Å
α = 59.23°, β = 59.23°, γ = 59.23°
Each line ends with the local moment (μB).
Positions (direct):
Se (0.249, 0.748, 0.748)  -0.06
Se (0.254, 0.254, 0.254)  -0.08
Se (0.252, 0.751, 0.252)  -0.06
Se (0.746, 0.746, 0.746)  -0.08
Se (0.751, 0.252, 0.252)  -0.06
U (0.500, 0.000, 0.500)  2.41
U (0.000, 0.000, 0.000)  2.69
Se (0.748, 0.748, 0.249)  -0.06
U (0.000, 0.500, 0.500)  2.41
Se (0.252, 0.252, 0.751)  -0.06
Se (0.748, 0.249, 0.748)  -0.06
U (0.500, 0.500, 0.000)  2.41
Tm (0.500, 0.500, 0.500)  0.14

(16)
The following is a PBE calculation of La2YCd after structural relaxation, from the Alexandria database.

Calculated values
* symmetry: R-3m
* total DFT energy (no corrections): -17.418 eV/cell
* formation energy: -0.046 eV per atom

a = 11.466 Å, b = 11.466 Å, c = 11.466 Å
α = 18.59°, β = 18.59°, γ = 18.59°
Positions (direct):
La (0.004, 0.004, 0.004)
Cd (0.750, 0.750, 0.750)
Y (0.250, 0.250, 0.250)
La (0.496, 0.496, 0.496)

(17)
The following is a PBE calculation of PmCd2GaPd4 after structural relaxation, from the Alexandria database.

Calculated values
* symmetry: R-3m
* total DFT energy (no corrections): -34.832 eV/cell
* formation energy: -0.557 eV per atom

a = 4.700 Å, b = 4.700 Å, c = 8.147 Å
α = 73.24°, β = 73.24°, γ = 60.00°
Positions (direct):
Pd (0.131, 0.131, 0.608)
Pm (0.000, 0.000, 0.000)
Pd (0.391, 0.391, 0.827)
Cd (0.749, 0.749, 0.754)
Pd (0.869, 0.869, 0.392)
Pd (0.609, 0.609, 0.173)
Ga (0.500, 0.500, 0.500)
Cd (0.251, 0.251, 0.246)

(18)
The following is a PBE calculation of NpCrN after structural relaxation, from the Alexandria database.

Calculated values
* symmetry: P3m1
* excess energy over the best structure of this formula in the dataset: 441 meV/atom
* total DFT energy (no corrections): -30.874 eV/cell
* E_form (uncorrected): 5 meV/atom

a = 3.647 Å, b = 3.647 Å, c = 3.249 Å
α = 90.00°, β = 90.00°, γ = 120.00°
Each line ends with the local moment (μB).
Positions (direct):
Cr (0.667, 0.333, 0.145)  1.10
Np (0.333, 0.667, 0.659)  -1.65
N (0.000, 0.000, 0.196)  0.05

(19)
The following is a PBE calculation of Cs2Li12Te7 after structural relaxation, from the Alexandria database.

Calculated values
* symmetry: P-3
* total DFT energy (no corrections): -67.883 eV/cell
* E_form (uncorrected): -1010 meV/atom

a = 4.645 Å, b = 11.550 Å, c = 11.550 Å
α = 120.00°, β = 90.00°, γ = 90.00°
Positions (direct):
Li (0.748, 0.373, 0.944)
Cs (0.255, 0.333, 0.667)
Te (0.243, 0.700, 0.605)
Li (0.736, 0.250, 0.130)
Li (0.736, 0.879, 0.750)
Te (0.243, 0.395, 0.095)
Te (0.757, 0.605, 0.905)
Li (0.264, 0.121, 0.250)
Li (0.252, 0.429, 0.373)
Li (0.264, 0.130, 0.879)
Li (0.736, 0.870, 0.121)
Cs (0.745, 0.667, 0.333)
Te (0.757, 0.095, 0.700)
Li (0.264, 0.750, 0.870)
Li (0.748, 0.056, 0.429)
Li (0.252, 0.944, 0.571)
Li (0.252, 0.627, 0.056)
Te (0.243, 0.905, 0.300)
Te (0.757, 0.300, 0.395)
Li (0.748, 0.571, 0.627)
Te (0.500, 0.000, 0.000)

(20)
The following is a PBE calculation of BaCN4 after structural relaxation, from the Alexandria database.

Calculated values
* symmetry: C2/m
* total DFT energy (no corrections): -46.396 eV/cell
* E_form (uncorrected): -325 meV/atom

a = 5.096 Å, b = 5.096 Å, c = 6.626 Å
α = 50.95°, β = 50.95°, γ = 64.67°
Positions (direct):
N (0.995, 0.996, 0.192)
C (0.000, 0.000, 0.000)
N (0.501, 0.501, 0.914)
N (0.499, 0.499, 0.086)
Ba (0.500, 0.500, 0.500)
N (0.005, 0.004, 0.808)

(21)
The following is a PBE calculation of BaLiNd2 after structural relaxation, from the Alexandria database.

Calculated values
* symmetry: R-3m
* total DFT energy (no corrections): -12.115 eV/cell
* formation energy: 0.314 eV per atom

a = 3.633 Å, b = 3.633 Å, c = 12.875 Å
α = 81.89°, β = 81.89°, γ = 60.00°
Positions (direct):
Nd (0.097, 0.097, 0.710)
Nd (0.903, 0.903, 0.290)
Ba (0.000, 0.000, 0.000)
Li (0.500, 0.500, 0.500)

(22)
The following is a PBE calculation of Tl3Sb2Pb4 after structural relaxation, from the Alexandria database.

Calculated values
* symmetry: C2/m
* excess energy over the best structure of this formula in the dataset: 0 meV/atom
* total DFT energy (no corrections): -29.959 eV/cell
* E_form (uncorrected): 24 meV/atom

a = 5.896 Å, b = 5.073 Å, c = 10.576 Å
α = 90.00°, β = 77.35°, γ = 64.54°
Positions (direct):
Pb (0.000, 0.000, 0.671)
Tl (0.000, 0.000, 0.000)
Pb (0.000, 0.000, 0.329)
Tl (0.662, 0.669, 0.552)
Tl (0.338, 0.331, 0.448)
Sb (0.671, 0.665, 0.216)
Pb (0.666, 0.667, 0.888)
Sb (0.329, 0.335, 0.784)
Pb (0.334, 0.333, 0.112)

(23)
The following is a PBE calculation of Cr4CN after structural relaxation, from the Alexandria database.

Calculated values
* symmetry: P2_1/c
* total DFT energy (no corrections): -113.717 eV/cell
* E_form (uncorrected): -136 meV/atom

a = 5.126 Å, b = 4.683 Å, c = 4.964 Å
α = 90.00°, β = 102.96°, γ = 90.00°
Positions (direct):
C (0.500, 0.500, 0.000)
Cr (0.311, 0.355, 0.390)
Cr (0.859, 0.661, 0.140)
Cr (0.189, 0.855, 0.610)
Cr (0.641, 0.161, 0.860)
Cr (0.359, 0.839, 0.140)
Cr (0.811, 0.145, 0.390)
Cr (0.141, 0.339, 0.860)
N (0.000, 0.500, 0.500)
C (0.000, 0.000, 0.000)
Cr (0.689, 0.645, 0.610)
N (0.500, 0.000, 0.500)

(24)
The following is a PBE calculation of RbAg8Sn6 after structural relaxation, from the Alexandria database.

Calculated values
* symmetry: R-3
* total DFT energy (no corrections): -46.970 eV/cell
* formation energy: 0.055 eV per atom

a = 7.325 Å, b = 7.325 Å, c = 7.325 Å
α = 74.42°, β = 74.42°, γ = 74.42°
Positions (direct):
Sn (0.349, 0.587, 0.178)
Rb (0.000, 0.000, 0.000)
Sn (0.413, 0.822, 0.651)
Ag (0.122, 0.808, 0.476)
Sn (0.822, 0.651, 0.413)
Ag (0.808, 0.476, 0.122)
Ag (0.192, 0.524, 0.878)
Sn (0.587, 0.178, 0.349)
Sn (0.178, 0.349, 0.587)
Ag (0.785, 0.785, 0.785)
Ag (0.476, 0.122, 0.808)
Sn (0.651, 0.413, 0.822)
Ag (0.878, 0.192, 0.524)
Ag (0.215, 0.215, 0.215)
Ag (0.524, 0.878, 0.192)